Run a
MgBeCr2: relaxed, GGA-PBE.

Lattice parameters (Å, degrees): 4.3370 4.3370 4.3370 60.00 60.00 60.00
Last column: magnetic moment on the atom in μB.
Positions (direct):
Cr: 0.2500 0.2500 0.2500  3.18
Cr: 0.7500 0.7500 0.7500  3.18
Mg: 0.5000 0.5000 0.5000  -0.01
Be: 0.0000 0.0000 0.0000  -0.13

Properties
Fermi-level density of states, states/eV/f.u.: 3.4
Space group: Fm-3m (225)

Run b
MgBeCr2: relaxed, GGA-PBE.

Lattice parameters (Å, degrees): 4.1319 3.4471 3.4471 90.00 90.00 90.00
Positions (direct):
Cr: 0.0000 0.0000 0.0000
Cr: 0.0000 0.5000 0.5000
Mg: 0.5000 0.5000 0.0000
Be: 0.5000 0.0000 0.5000

Properties
Fermi-level density of states, states/eV/f.u.: 2.7
Space group: P4/mmm (123)

Run c
MgBeCr2: relaxed, GGA-PBE.

Lattice parameters (Å, degrees): 4.8583 4.8583 2.4589 84.20 84.20 119.79
Positions (direct):
Cr: 0.0000 0.0000 0.0000
Cr: 0.5000 0.5000 0.0000
Mg: 0.5000 0.0000 0.5000
Be: 0.0000 0.5000 0.5000

Properties
Fermi-level density of states, states/eV/f.u.: 2.3
Space group: C2/m (12)

Run d
MgBeCr2: relaxed, GGA-PBE.

Lattice parameters (Å, degrees): 2.5146 2.5146 7.7622 90.00 90.00 95.22
Positions (direct):
Cr: 0.0000 0.0000 0.9577
Cr: 0.0000 0.0000 0.5423
Mg: 0.5000 0.5000 0.2500
Be: 0.5000 0.5000 0.7500

Properties
Fermi-level density of states, states/eV/f.u.: 2.0
Space group: Cmmm (65)

Relative energies, meV/atom: run a 234; run b 57; run c 95; run d 0.

Run a
MgBeCr2: relaxed, GGA-PBE.

Lattice parameters (Å, degrees): 4.7988 4.7988 3.9227 69.05 69.05 36.53
Positions (direct):
Cr: 0.9853 0.9853 0.0462
Cr: 0.5147 0.5147 0.4538
Mg: 0.7500 0.7500 0.7500
Be: 0.2500 0.2500 0.2500

Properties
Fermi-level density of states, states/eV/f.u.: 2.4
Space group: C2/m (12)

Run b
MgBeCr2: relaxed, GGA-PBE.

Lattice parameters (Å, degrees): 8.8112 8.8112 8.8112 17.00 17.00 17.00
Last column: magnetic moment on the atom in μB.
Positions (direct):
Cr: 0.0037 0.0037 0.0037  0.16
Cr: 0.2561 0.2561 0.2561  0.12
Mg: 0.4974 0.4974 0.4974  0.00
Be: 0.7428 0.7428 0.7428  0.00

Properties
Fermi-level density of states, states/eV/f.u.: 2.8
Space group: R3m (160)

Run c
MgBeCr2: relaxed, GGA-PBE.

Lattice parameters (Å, degrees): 2.5146 2.5146 7.7349 90.00 90.00 90.00
Positions (direct):
Cr: 0.0000 0.0000 0.9570
Cr: 0.0000 0.0000 0.5430
Mg: 0.5000 0.5000 0.2500
Be: 0.5000 0.5000 0.7500

Properties
Fermi-level density of states, states/eV/f.u.: 2.0
Space group: P4/mmm (123)

Run d
MgBeCr2: relaxed, GGA-PBE.

Lattice parameters (Å, degrees): 4.7431 4.7431 4.7431 142.19 126.00 67.80
Last column: magnetic moment on the atom in μB.
Positions (direct):
Cr: 0.9894 0.9894 0.0000  1.66
Cr: 0.7743 0.2743 0.5000  -1.66
Mg: 0.4967 0.4967 0.0000  0.00
Be: 0.2396 0.7396 0.5000  0.00

Properties
Fermi-level density of states, states/eV/f.u.: 2.2
Space group: Imm2 (44)

Relative energies, meV/atom: run a 26; run b 150; run c 0; run d 38.